Crystalline CaN2ClF at its relaxed geometry. Source: the Alexandria database, functional PBE.

Cell and atoms, written as POSCAR:
```
CaN2ClF
1.0
5.146 0.000 0.000
0.000 5.146 0.000
0.000 0.000 4.205
N Ca F Cl
2 1 1 1
Direct
0.000 0.500 0.000
0.500 0.000 0.000
0.000 0.000 0.000
0.000 0.000 0.500
0.500 0.500 0.500
```

* E_form (uncorrected): 51.5 kJ per mole of atoms
* ΔE to the lowest computed polymorph: 42 meV per atom
* magnetization: 5.6 μB/cell



Crystalline NaCaClF2 at its relaxed geometry. Source: the Alexandria database, functional PBE.

Cell and atoms, written as POSCAR:
```
NaCaClF2
1.0
-2.996 -0.956 3.035
-2.808 -1.169 -3.139
1.929 -5.280 0.241
Na Ca F Cl
1 1 2 1
Direct
0.500 0.500 0.500
0.000 0.000 0.000
0.000 0.500 0.000
0.500 0.000 0.000
0.000 0.000 0.500
```

* E_form (uncorrected): -278.6 kJ per mole of atoms
* magnetization: 0.0 μB/cell



Crystalline NaCaCl2F at its relaxed geometry. Source: the Alexandria database, functional PBE.

Cell and atoms, written as POSCAR:
```
NaCaCl2F
1.0
5.443 0.000 0.000
0.000 5.443 0.000
0.000 0.000 4.317
Na Ca F Cl
1 1 1 2
Direct
0.500 0.500 0.500
0.000 0.000 0.000
0.000 0.000 0.500
0.000 0.500 0.000
0.500 0.000 0.000
```

* E_form (uncorrected): -237.6 kJ per mole of atoms
* magnetization: 0.0 μB/cell



Crystalline Na13Ca7S12ClO48F2 at its relaxed geometry. Source: the Alexandria database, functional PBE.

Cell and atoms, written as POSCAR:
```
Na13Ca7S12ClO48F2
1.0
-4.069 -7.120 -4.992
3.259 -1.640 8.892
-12.354 3.415 5.330
Na Ca S Cl O F
13 7 12 1 48 2
Direct
0.009 0.718 0.876
0.011 0.732 0.376
0.706 0.991 0.873
0.718 0.987 0.374
0.338 0.665 0.993
0.341 0.673 0.494
0.328 0.671 0.759
0.328 0.675 0.253
0.280 0.291 0.877
0.681 0.340 0.755
0.679 0.338 0.252
0.669 0.335 0.504
0.655 0.328 0.997
0.759 0.756 0.622
0.759 0.756 0.124
0.264 0.273 0.376
0.243 0.001 0.630
0.243 0.001 0.127
0.995 0.242 0.624
0.994 0.240 0.123
0.608 0.974 0.623
0.606 0.974 0.123
0.027 0.632 0.623
0.027 0.632 0.123
0.648 0.625 0.872
0.632 0.604 0.374
0.367 0.390 0.627
0.369 0.395 0.125
0.976 0.352 0.875
0.976 0.364 0.375
0.373 0.023 0.876
0.395 0.033 0.378
0.996 0.996 0.345
0.078 0.753 0.543
0.081 0.750 0.041
0.092 0.727 0.713
0.092 0.730 0.212
0.318 0.849 0.881
0.327 0.857 0.378
0.431 0.908 0.631
0.429 0.905 0.132
0.666 0.921 0.708
0.667 0.922 0.207
0.643 0.905 0.537
0.642 0.908 0.036
0.097 0.526 0.610
0.097 0.525 0.113
0.530 0.682 0.870
0.515 0.663 0.370
0.151 0.470 0.873
0.155 0.469 0.372
0.474 0.567 0.624
0.471 0.573 0.125
0.752 0.686 0.960
0.758 0.688 0.787
0.740 0.669 0.458
0.729 0.646 0.284
0.256 0.344 0.711
0.261 0.338 0.540
0.260 0.342 0.212
0.260 0.344 0.040
0.563 0.446 0.873
0.542 0.423 0.383
0.848 0.536 0.628
0.848 0.538 0.126
0.462 0.306 0.631
0.468 0.316 0.127
0.882 0.436 0.889
0.896 0.459 0.393
0.333 0.079 0.967
0.332 0.083 0.462
0.289 0.058 0.796
0.346 0.089 0.289
0.550 0.117 0.862
0.573 0.119 0.382
0.694 0.153 0.618
0.690 0.153 0.117
0.923 0.260 0.783
0.938 0.231 0.954
0.917 0.279 0.282
0.934 0.243 0.455
0.000 0.002 0.627
0.000 0.001 0.114
```

* E_form (uncorrected): -198.2 kJ per mole of atoms
* magnetization: 0.4 μB/cell